Below is crystalline Ba3Ir at its relaxed geometry, with properties calculated at the PBE level.

a b c (Å): 11.4198 11.4198 11.4198
angles (deg): 23.11 23.11 23.11
Fractional positions:
Ir: 0.0000 0.0000 0.0000
Ba: 0.7151 0.7151 0.7151
Ba: 0.5000 0.5000 0.5000
Ba: 0.2849 0.2849 0.2849

## Properties
E_form, eV per atom: 0.004
Spin magnetization, μB per atom: 0.000
SG: No. 166

***

Below is crystalline BaIr at its relaxed geometry, with properties calculated at the PBE level.

a b c (Å): 5.0044 5.0044 5.0044
angles (deg): 60.00 60.00 60.00
Fractional positions:
Ir: 0.7500 0.7500 0.7500
Ba: 0.0000 0.0000 0.0000

## Properties
E_form, eV per atom: 1.119
Spin magnetization, μB per atom: 0.501
SG: No. 216

***

Below is crystalline BaIr3 at its relaxed geometry, with properties calculated at the PBE level.

a b c (Å): 6.0009 6.0009 6.0009
angles (deg): 151.95 128.82 59.38
Fractional positions:
Ir: 0.2834 0.7834 0.5000
Ir: 0.5000 0.5000 0.0000
Ir: 0.7166 0.2166 0.5000
Ba: 0.0000 0.0000 0.0000

## Properties
E_form, eV per atom: 0.677
Spin magnetization, μB per atom: 0.000
SG: No. 71

***

Below is crystalline Ba3Ir at its relaxed geometry, with properties calculated at the PBE level.

a b c (Å): 4.1972 7.5793 7.4819
angles (deg): 120.43 106.29 90.00
Fractional positions:
Ir: 0.0000 0.0481 0.0000
Ba: 0.3371 0.7238 0.6743
Ba: 0.5000 0.3453 0.0000
Ba: 0.6629 0.0495 0.3257

## Properties
E_form, eV per atom: -0.049
Spin magnetization, μB per atom: 0.000
SG: No. 44

***

Below is crystalline BaIr at its relaxed geometry, with properties calculated at the PBE level.

a b c (Å): 6.2238 6.2238 6.9781
angles (deg): 87.58 87.58 42.55
Fractional positions:
Ba: 0.0285 0.0285 0.8793
Ba: 0.3056 0.3056 0.1666
Ba: 0.5827 0.5827 0.4541
Ir: 0.7406 0.7406 0.8229
Ir: 0.8705 0.8705 0.5103
Ir: 0.3055 0.3055 0.6667

## Properties
E_form, eV per atom: -0.020
Spin magnetization, μB per atom: 0.000
SG: No. 12

***

Below is crystalline BaIr5 at its relaxed geometry, with properties calculated at the PBE level.

a b c (Å): 6.2895 6.2895 6.5912
angles (deg): 81.84 81.84 26.02
Fractional positions:
Ba: 0.9541 0.9541 0.0592
Ir: 0.3221 0.3221 0.5654
Ir: 0.6870 0.6870 0.3199
Ir: 0.6420 0.6420 0.7107
Ir: 0.0020 0.0020 0.5221
Ir: 0.2261 0.2261 0.9894

## Properties
E_form, eV per atom: 0.271
Spin magnetization, μB per atom: 0.000
SG: No. 8

***

Below is crystalline Ba2Ir at its relaxed geometry, with properties calculated at the PBE level.

a b c (Å): 6.5225 6.5225 6.5225
angles (deg): 107.46 107.46 113.58
Fractional positions:
Ba: 0.1943 0.3057 0.5000
Ba: 0.8057 0.6943 0.5000
Ba: 0.6943 0.1943 0.8885
Ba: 0.3057 0.8057 0.1115
Ir: 0.7500 0.7500 0.0000
Ir: 0.2500 0.2500 0.0000

## Properties
E_form, eV per atom: 0.032
Spin magnetization, μB per atom: 0.000
SG: No. 140

***

Below is crystalline Ba2Ir at its relaxed geometry, with properties calculated at the PBE level.

a b c (Å): 6.5537 6.5537 6.5537
angles (deg): 60.00 60.00 60.00
Fractional positions:
Ba: 0.6250 0.1250 0.1250
Ba: 0.1250 0.6250 0.1250
Ba: 0.1250 0.1250 0.6250
Ba: 0.1250 0.1250 0.1250
Ir: 0.5000 0.5000 0.5000
Ir: 0.7500 0.7500 0.7500

## Properties
E_form, eV per atom: 1.217
Spin magnetization, μB per atom: 0.000
SG: No. 227